1.
Compound: Mn2HSe
Source: Alexandria
Functional: PBE-GGA
Structure: relaxed

spin magnetization = 0.731 μB per atom
final energy = -5.835 eV/atom
offset from the most stable computed form = 446.7 meV per atom

```
data_Mn2HSe
_symmetry_space_group_name_H-M 'F m -3 m'
_symmetry_Int_Tables_number 225
_symmetry_space_group_name_Hall '-F 4 2 3'
_cell_length_a 5.5648
_cell_length_b 5.5648
_cell_length_c 5.5648
_cell_angle_alpha 90.00
_cell_angle_beta 90.00
_cell_angle_gamma 90.00
loop_
_atom_site_label
_atom_site_type_symbol
_atom_site_fract_x
_atom_site_fract_y
_atom_site_fract_z
_atom_site_occupancy
Mn1 Mn 0.2500 0.2500 0.2500 1
H1 H 0.0000 0.0000 0.0000 1
Se1 Se 0.0000 0.0000 0.5000 1
```

---

2.
Compound: Mn2HSe
Source: Alexandria
Functional: PBE-GGA
Structure: relaxed

spin magnetization = 0.251 μB per atom
final energy = -6.282 eV/atom
offset from the most stable computed form = 0.0 meV per atom

```
data_Mn2HSe
_symmetry_space_group_name_H-M 'P 1'
_symmetry_Int_Tables_number 1
_symmetry_space_group_name_Hall 'P 1'
_cell_length_a 3.8088
_cell_length_b 3.8561
_cell_length_c 5.1528
_cell_angle_alpha 71.93
_cell_angle_beta 68.51
_cell_angle_gamma 60.63
loop_
_atom_site_label
_atom_site_type_symbol
_atom_site_fract_x
_atom_site_fract_y
_atom_site_fract_z
_atom_site_occupancy
Mn1 Mn 0.0000 0.0000 0.0000 1
Mn2 Mn 0.4281 0.4009 0.7431 1
H1 H 0.1037 0.1318 0.6570 1
Se1 Se 0.5866 0.6127 0.2133 1
```

---

3.
Compound: Mn2HSe
Source: Alexandria
Functional: PBE-GGA
Structure: relaxed

spin magnetization = 1.623 μB per atom
final energy = -6.231 eV/atom
offset from the most stable computed form = 51.0 meV per atom

```
data_Mn2HSe
_symmetry_space_group_name_H-M 'P -4 m 2'
_symmetry_Int_Tables_number 115
_symmetry_space_group_name_Hall 'P -4 -2'
_cell_length_a 3.1933
_cell_length_b 3.1933
_cell_length_c 5.4735
_cell_angle_alpha 90.00
_cell_angle_beta 90.00
_cell_angle_gamma 90.00
loop_
_atom_site_label
_atom_site_type_symbol
_atom_site_fract_x
_atom_site_fract_y
_atom_site_fract_z
_atom_site_occupancy
Mn1 Mn 0.0000 0.5000 0.1624 1
H1 H 0.0000 0.0000 0.0000 1
Se1 Se 0.5000 0.5000 0.5000 1
```

---

4.
Compound: MnHSe2
Source: Alexandria
Functional: PBE-GGA
Structure: relaxed

spin magnetization = 0.975 μB per atom
final energy = -4.915 eV/atom
offset from the most stable computed form = 189.8 meV per atom

```
data_MnHSe2
_symmetry_space_group_name_H-M 'C m c m'
_symmetry_Int_Tables_number 63
_symmetry_space_group_name_Hall '-C 2c 2'
_cell_length_a 3.6010
_cell_length_b 22.3021
_cell_length_c 3.5699
_cell_angle_alpha 90.00
_cell_angle_beta 90.00
_cell_angle_gamma 90.00
loop_
_atom_site_label
_atom_site_type_symbol
_atom_site_fract_x
_atom_site_fract_y
_atom_site_fract_z
_atom_site_occupancy
Mn1 Mn 0.0000 0.1709 0.2500 1
H1 H 0.0000 0.4337 0.2500 1
Se1 Se 0.0000 0.2930 0.2500 1
Se2 Se 0.0000 0.4153 0.7500 1
```

---

5.
Compound: MnHSe2
Source: Alexandria
Functional: PBE-GGA
Structure: relaxed

spin magnetization = 0.750 μB per atom
final energy = -5.098 eV/atom
offset from the most stable computed form = 6.5 meV per atom

```
data_MnHSe2
_symmetry_space_group_name_H-M 'C 1 m 1'
_symmetry_Int_Tables_number 8
_symmetry_space_group_name_Hall 'C -2y'
_cell_length_a 12.3684
_cell_length_b 3.5155
_cell_length_c 8.2942
_cell_angle_alpha 90.00
_cell_angle_beta 126.18
_cell_angle_gamma 90.00
loop_
_atom_site_label
_atom_site_type_symbol
_atom_site_fract_x
_atom_site_fract_y
_atom_site_fract_z
_atom_site_occupancy
Mn1 Mn 0.0000 0.0000 0.0000 1
Mn2 Mn 0.2069 0.0000 0.8369 1
H1 H 0.0978 0.0000 0.9059 1
H2 H 0.1029 0.5000 0.4541 1
Se1 Se 0.0554 0.5000 0.5916 1
Se2 Se 0.1433 0.5000 0.2326 1
Se3 Se 0.3350 0.5000 0.0869 1
Se4 Se 0.3632 0.0000 0.7469 1
```

---

6.
Compound: MnHSe2
Source: Alexandria
Functional: PBE-GGA
Structure: relaxed

spin magnetization = 0.250 μB per atom
final energy = -5.045 eV/atom
offset from the most stable computed form = 59.8 meV per atom

```
data_MnHSe2
_symmetry_space_group_name_H-M 'P 1'
_symmetry_Int_Tables_number 1
_symmetry_space_group_name_Hall 'P 1'
_cell_length_a 3.5442
_cell_length_b 6.1534
_cell_length_c 6.9573
_cell_angle_alpha 68.54
_cell_angle_beta 89.84
_cell_angle_gamma 89.99
loop_
_atom_site_label
_atom_site_type_symbol
_atom_site_fract_x
_atom_site_fract_y
_atom_site_fract_z
_atom_site_occupancy
Mn1 Mn 0.0000 0.0000 0.0000 1
Mn2 Mn 0.5003 0.3809 0.9812 1
H1 H 0.0032 0.5740 0.5733 1
H2 H 0.5004 0.1154 0.1137 1
Se1 Se 0.0016 0.6383 0.7623 1
Se2 Se 0.4993 0.6914 0.1523 1
Se3 Se 0.5015 0.1841 0.7433 1
Se4 Se 0.9992 0.2155 0.2367 1
```

---

7.
Compound: MnHSe2
Source: Alexandria
Functional: PBE-GGA
Structure: relaxed

spin magnetization = 0.218 μB per atom
final energy = -5.040 eV/atom
offset from the most stable computed form = 65.0 meV per atom

```
data_MnHSe2
_symmetry_space_group_name_H-M 'P 1'
_symmetry_Int_Tables_number 1
_symmetry_space_group_name_Hall 'P 1'
_cell_length_a 3.2784
_cell_length_b 7.4520
_cell_length_c 7.6391
_cell_angle_alpha 62.59
_cell_angle_beta 88.61
_cell_angle_gamma 77.87
loop_
_atom_site_label
_atom_site_type_symbol
_atom_site_fract_x
_atom_site_fract_y
_atom_site_fract_z
_atom_site_occupancy
Mn1 Mn 0.0000 0.0000 0.0000 1
Mn2 Mn 0.4416 0.0662 0.2681 1
H1 H 0.2797 0.7744 0.0385 1
H2 H 0.4954 0.8488 0.0272 1
Se1 Se 0.0559 0.7952 0.3525 1
Se2 Se 0.3773 0.2656 0.9137 1
Se3 Se 0.8486 0.2487 0.3770 1
Se4 Se 0.9803 0.9583 0.7095 1
```

---

8.
Compound: MnHSe2
Source: Alexandria
Functional: PBE-GGA
Structure: relaxed

spin magnetization = 0.000 μB per atom
final energy = -4.362 eV/atom
offset from the most stable computed form = 742.4 meV per atom

```
data_MnHSe2
_symmetry_space_group_name_H-M 'F m -3 m'
_symmetry_Int_Tables_number 225
_symmetry_space_group_name_Hall '-F 4 2 3'
_cell_length_a 5.8924
_cell_length_b 5.8924
_cell_length_c 5.8924
_cell_angle_alpha 90.00
_cell_angle_beta 90.00
_cell_angle_gamma 90.00
loop_
_atom_site_label
_atom_site_type_symbol
_atom_site_fract_x
_atom_site_fract_y
_atom_site_fract_z
_atom_site_occupancy
Mn1 Mn 0.0000 0.0000 0.0000 1
H1 H 0.0000 0.0000 0.5000 1
Se1 Se 0.2500 0.2500 0.2500 1
```

---

9.
Compound: MnHSe3
Source: Alexandria
Functional: PBE-GGA
Structure: relaxed

spin magnetization = 0.005 μB per atom
final energy = -3.492 eV/atom
offset from the most stable computed form = 331.4 meV per atom

```
data_MnHSe3
_symmetry_space_group_name_H-M 'P m -3 m'
_symmetry_Int_Tables_number 221
_symmetry_space_group_name_Hall '-P 4 2 3'
_cell_length_a 4.2178
_cell_length_b 4.2178
_cell_length_c 4.2178
_cell_angle_alpha 90.00
_cell_angle_beta 90.00
_cell_angle_gamma 90.00
loop_
_atom_site_label
_atom_site_type_symbol
_atom_site_fract_x
_atom_site_fract_y
_atom_site_fract_z
_atom_site_occupancy
Mn1 Mn 0.0000 0.0000 0.0000 1
H1 H 0.5000 0.5000 0.5000 1
Se1 Se 0.0000 0.5000 0.5000 1
```

---

10.
Compound: Mn2HSe
Source: Alexandria
Functional: PBE-GGA
Structure: relaxed

spin magnetization = 1.325 μB per atom
final energy = -6.218 eV/atom
offset from the most stable computed form = 63.8 meV per atom

```
data_Mn2HSe
_symmetry_space_group_name_H-M 'C 1 m 1'
_symmetry_Int_Tables_number 8
_symmetry_space_group_name_Hall 'C -2y'
_cell_length_a 5.3320
_cell_length_b 3.0610
_cell_length_c 6.4715
_cell_angle_alpha 90.00
_cell_angle_beta 106.08
_cell_angle_gamma 90.00
loop_
_atom_site_label
_atom_site_type_symbol
_atom_site_fract_x
_atom_site_fract_y
_atom_site_fract_z
_atom_site_occupancy
Mn1 Mn 0.0000 0.0000 0.0000 1
Mn2 Mn 0.0585 0.5000 0.6764 1
H1 H 0.2093 0.0000 0.6270 1
Se1 Se 0.4161 0.0000 0.2492 1
```

---

11.
Compound: MnH2Se
Source: Alexandria
Functional: PBE-GGA
Structure: relaxed

spin magnetization = 1.175 μB per atom
final energy = -4.145 eV/atom
offset from the most stable computed form = 367.4 meV per atom

```
data_MnH2Se
_symmetry_space_group_name_H-M 'F m -3 m'
_symmetry_Int_Tables_number 225
_symmetry_space_group_name_Hall '-F 4 2 3'
_cell_length_a 5.5638
_cell_length_b 5.5638
_cell_length_c 5.5638
_cell_angle_alpha 90.00
_cell_angle_beta 90.00
_cell_angle_gamma 90.00
loop_
_atom_site_label
_atom_site_type_symbol
_atom_site_fract_x
_atom_site_fract_y
_atom_site_fract_z
_atom_site_occupancy
Mn1 Mn 0.0000 0.0000 0.0000 1
H1 H 0.2500 0.2500 0.2500 1
Se1 Se 0.0000 0.0000 0.5000 1
```

---

12.
Compound: MnHSe2
Source: Alexandria
Functional: PBE-GGA
Structure: relaxed

spin magnetization = 1.005 μB per atom
final energy = -5.105 eV/atom
offset from the most stable computed form = 0.0 meV per atom

```
data_MnHSe2
_symmetry_space_group_name_H-M 'P -1'
_symmetry_Int_Tables_number 2
_symmetry_space_group_name_Hall '-P 1'
_cell_length_a 3.5899
_cell_length_b 6.5497
_cell_length_c 7.6813
_cell_angle_alpha 87.27
_cell_angle_beta 89.87
_cell_angle_gamma 74.29
loop_
_atom_site_label
_atom_site_type_symbol
_atom_site_fract_x
_atom_site_fract_y
_atom_site_fract_z
_atom_site_occupancy
Mn1 Mn 0.2344 0.0288 0.1839 1
H1 H 0.4605 0.5757 0.7347 1
Se1 Se 0.1376 0.2293 0.8829 1
Se2 Se 0.3556 0.7904 0.6426 1
```

---

13.
Compound: MnH2Se2
Source: Alexandria
Functional: PBE-GGA
Structure: relaxed

spin magnetization = 0.555 μB per atom
final energy = -4.865 eV/atom

```
data_MnH2Se2
_symmetry_space_group_name_H-M 'C 1 2/m 1'
_symmetry_Int_Tables_number 12
_symmetry_space_group_name_Hall '-C 2y'
_cell_length_a 5.9934
_cell_length_b 3.4644
_cell_length_c 9.2160
_cell_angle_alpha 90.00
_cell_angle_beta 92.88
_cell_angle_gamma 90.00
loop_
_atom_site_label
_atom_site_type_symbol
_atom_site_fract_x
_atom_site_fract_y
_atom_site_fract_z
_atom_site_occupancy
Mn1 Mn 0.0000 0.0000 0.0000 1
H1 H 0.0404 0.0000 0.5326 1
Se1 Se 0.1785 0.5000 0.1572 1
```